[1]
# Ac4Pr3Cd

Ac4Pr3Cd after structural relaxation (PBE, the Alexandria database).

* symmetry: P4/mmm, No. 123
* spin magnetization: 0.00 μB/f.u.
* energy of formation from the pure elements: -0.06 eV per atom

The structure in extended XYZ format:
```
8
Lattice="3.945 0.000 0.000 0.000 3.945 0.000 0.000 0.000 20.103" Properties=species:S:1:pos:R:3 pbc="T T T"
Pr 1.973 1.973 4.813
Pr 1.973 1.973 10.051
Pr 1.973 1.973 15.289
Ac 0.000 0.000 17.974
Ac 0.000 0.000 2.129
Ac 0.000 0.000 7.425
Ac 0.000 0.000 12.678
Cd 1.973 1.973 0.000
```

[2]
# Ac6Pr2Cd

Ac6Pr2Cd after structural relaxation (PBE, the Alexandria database).

* symmetry: P-62m, No. 189
* spin magnetization: 0.00 μB/f.u.
* offset from the most stable computed form: 0.000 eV per atom
* energy of formation from the pure elements: -0.04 eV per atom

The structure in extended XYZ format:
```
9
Lattice="3.946 0.000 0.000 0.000 9.406 -4.331 0.000 -0.950 10.317" Properties=species:S:1:pos:R:3 pbc="T T T"
Ac 1.973 5.873 -2.704
Ac 1.973 3.177 2.248
Ac 1.973 -0.593 6.441
Ac 0.000 2.608 -1.201
Ac 0.000 6.112 4.326
Ac 0.000 -0.263 2.861
Pr 0.000 2.503 5.435
Pr 0.000 5.954 0.551
Cd 1.973 9.406 -4.331
```

[3]
# AcPr5Cd4

AcPr5Cd4 after structural relaxation (PBE, the Alexandria database).

* symmetry: P4/mmm, No. 123
* spin magnetization: 1.16 μB/f.u.
* energy of formation from the pure elements: -0.25 eV per atom

The structure in extended XYZ format:
```
10
Lattice="3.883 0.000 0.000 0.000 3.883 0.000 0.000 0.000 20.814" Properties=species:S:1:pos:R:3 pbc="T T T"
Ac 0.000 0.000 0.000
Pr 1.942 1.942 2.653
Pr 1.942 1.942 6.541
Pr 1.942 1.942 10.407
Pr 1.942 1.942 14.272
Pr 1.942 1.942 18.161
Cd 0.000 0.000 4.571
Cd 0.000 0.000 8.464
Cd 0.000 0.000 12.350
Cd 0.000 0.000 16.243
```

[4]
# Ac3Pr2Cd

Ac3Pr2Cd after structural relaxation (PBE, the Alexandria database).

* symmetry: Cmmm, No. 65
* spin magnetization: 0.00 μB/f.u.
* energy of formation from the pure elements: -0.09 eV per atom

The structure in extended XYZ format:
```
6
Lattice="4.019 0.000 0.000 0.000 5.730 -1.891 0.000 0.096 9.918" Properties=species:S:1:pos:R:3 pbc="T T T"
Ac 0.000 3.948 2.336
Ac 0.000 1.878 5.690
Ac 2.010 2.865 -0.945
Pr 2.010 4.997 5.513
Pr 2.010 0.829 2.513
Cd 0.000 0.000 0.000
```

[5]
# Ac6Pr2Cd

Ac6Pr2Cd after structural relaxation (PBE, the Alexandria database).

* symmetry: P4_2/mnm, No. 136
* spin magnetization: 0.00 μB/f.u.
* offset from the most stable computed form: 0.034 eV per atom
* energy of formation from the pure elements: -0.01 eV per atom

The structure in extended XYZ format:
```
18
Lattice="5.772 0.000 0.275 0.000 11.239 0.000 -0.534 0.000 11.226" Properties=species:S:1:pos:R:3 pbc="T T T"
Ac -0.099 0.386 2.073
Ac -0.285 7.693 5.998
Ac -0.466 7.053 9.794
Ac 2.551 1.434 7.182
Ac 2.370 2.073 10.978
Ac 2.718 6.005 3.678
Ac 5.337 10.853 9.428
Ac 5.523 3.546 5.503
Ac 5.704 4.185 1.707
Ac 2.688 9.804 4.318
Ac 2.868 9.165 0.523
Ac 2.521 5.234 7.823
Pr 5.351 3.245 9.129
Pr 2.507 8.864 8.122
Pr 2.732 2.374 3.379
Pr -0.113 7.993 2.371
Cd 2.886 5.619 0.137
Cd -0.267 0.000 5.613
```

[6]
# Ac8Pr2Cd

Ac8Pr2Cd after structural relaxation (PBE, the Alexandria database).

* symmetry: C2/m, No. 12
* spin magnetization: 0.00 μB/f.u.
* offset from the most stable computed form: 0.039 eV per atom
* energy of formation from the pure elements: 0.04 eV per atom

The structure in extended XYZ format:
```
11
Lattice="6.092 0.000 0.000 0.000 8.274 0.083 -3.046 -3.450 9.124" Properties=species:S:1:pos:R:3 pbc="T T T"
Ac 0.000 1.972 7.209
Ac 3.046 6.616 3.047
Ac 3.046 4.150 5.820
Ac 3.046 -1.446 8.837
Ac 0.000 0.674 3.387
Ac 0.000 -1.792 6.161
Ac 3.046 2.852 1.998
Ac 0.000 6.270 0.371
Pr 3.046 0.595 5.719
Pr 0.000 4.229 3.489
Cd 3.046 0.000 0.000
```

[7]
# Ac2PrCd2

Ac2PrCd2 after structural relaxation (PBE, the Alexandria database).

* symmetry: Ibam, No. 72
* spin magnetization: 0.00 μB/f.u.
* offset from the most stable computed form: 0.106 eV per atom
* energy of formation from the pure elements: -0.06 eV per atom

The structure in extended XYZ format:
```
10
Lattice="6.510 0.000 0.000 0.000 8.392 0.000 -3.255 -4.196 6.573" Properties=species:S:1:pos:R:3 pbc="T T T"
Ac 3.255 2.890 3.890
Ac 0.000 1.306 2.683
Ac 3.255 -1.306 2.683
Ac 0.000 5.502 3.890
Pr 4.883 4.196 0.000
Pr 1.628 4.196 0.000
Cd 0.000 2.786 5.833
Cd 3.255 1.410 0.740
Cd 0.000 6.982 0.740
Cd 3.255 -2.786 5.833
```

[8]
# AcPr3Cd6

AcPr3Cd6 after structural relaxation (PBE, the Alexandria database).

* symmetry: P2_1/m, No. 11
* spin magnetization: 0.00 μB/f.u.
* energy of formation from the pure elements: -0.28 eV per atom

The structure in extended XYZ format:
```
20
Lattice="5.366 0.000 0.000 0.000 9.223 -2.905 0.000 0.097 11.683" Properties=species:S:1:pos:R:3 pbc="T T T"
Ac 1.341 8.738 4.513
Ac 4.024 0.581 4.265
Pr 1.341 4.801 3.081
Pr 4.024 4.519 5.697
Pr 1.341 3.347 8.357
Pr 4.024 5.972 0.421
Pr 1.341 7.074 -2.138
Pr 4.024 2.246 10.916
Cd 1.341 4.107 -0.130
Cd 4.024 5.213 8.908
Cd 1.341 1.402 1.837
Cd 4.024 7.918 6.941
Cd 1.341 6.095 6.501
Cd 4.024 3.225 2.277
Cd 1.341 2.375 5.260
Cd 4.024 6.945 3.518
Cd 1.341 7.659 1.207
Cd 4.024 1.660 7.571
Cd 1.341 0.549 10.542
Cd 4.024 8.771 -1.764
```